# 1
Here is a relaxed structure of Zr3Ti from Alexandria via LeMat-Bulk. Energies are from GGA-PBE.

Summary:
calculated density = 6.19 g/cm³
total magnetic moment = 0.242 μB per atom
E_tot = -33.08 eV for the cell shown
offset from the most stable computed form = 72 meV per atom
calculated formation energy = 2.66 kcal/mol of atoms

abc: 4.9596 4.9596 4.9596
angles: 60.00 60.00 60.00
Closest atoms and distances in Å follow each position.
Fractional positions:
Zr 0.0000 0.0000 0.0000  8 Zr 3.04
Zr 0.2500 0.2500 0.2500  4 Zr 3.04, 4 Ti 3.04
Zr 0.7500 0.7500 0.7500  4 Zr 3.04, 4 Ti 3.04
Ti 0.5000 0.5000 0.5000  8 Zr 3.04

***

# 2
Here is a relaxed structure of LaIrO6 from Alexandria via LeMat-Bulk. Energies are from GGA-PBE.

Summary:
calculated density = 7.17 g/cm³
ΔE_f (raw) = -9.6 eV per formula unit
total magnetic moment = 0.000 μB per atom
E_tot = -53.16 eV for the cell shown

abc: 4.6672 4.6672 4.6788
angles: 97.69 97.69 97.76
Closest atoms and distances in Å follow each position.
Fractional positions:
La 0.0000 0.0000 0.0000  12 O 2.55-2.80
Ir 0.5000 0.5000 0.5000  6 O 1.87
O 0.2152 0.5863 0.2164  1 Ir 1.87
O 0.2160 0.2160 0.5880  1 Ir 1.87
O 0.4137 0.7848 0.7836  1 Ir 1.87
O 0.5863 0.2152 0.2164  1 Ir 1.87
O 0.7840 0.7840 0.4120  1 Ir 1.87
O 0.7848 0.4137 0.7836  1 Ir 1.87

***

# 3
Here is a relaxed structure of Li2IrCl6 from Alexandria via LeMat-Bulk. Energies are from GGA-PBE.

Summary:
calculated density = 3.57 g/cm³
ΔE_f (raw) = -9.0 eV per formula unit
total magnetic moment = 0.119 μB per atom
E_tot = -65.52 eV for the cell shown
offset from the most stable computed form = 10 meV per atom

abc: 5.9162 5.9162 11.1455
angles: 90.00 90.00 90.00
Closest atoms and distances in Å follow each position.
Fractional positions:
Li 0.0000 0.0000 0.1703  6 Cl 2.51-2.65
Li 0.0000 0.0000 0.8297  6 Cl 2.51-2.65
Li 0.5000 0.5000 0.3297  6 Cl 2.51-2.65
Li 0.5000 0.5000 0.6703  6 Cl 2.51-2.65
Ir 0.0000 0.0000 0.5000  6 Cl 2.33-2.35
Ir 0.5000 0.5000 0.0000  6 Cl 2.33-2.35
Cl 0.1897 0.1897 0.3443  1 Ir 2.35, 2 Li 2.51-2.60
Cl 0.1897 0.1897 0.6557  1 Ir 2.35, 2 Li 2.51-2.60
Cl 0.2210 0.2210 0.0000  1 Ir 2.33
Cl 0.2790 0.7210 0.5000  1 Ir 2.33
Cl 0.3103 0.6897 0.1557  1 Ir 2.35, 2 Li 2.51-2.60
Cl 0.3103 0.6897 0.8443  1 Ir 2.35, 2 Li 2.51-2.60
Cl 0.6897 0.3103 0.1557  1 Ir 2.35, 2 Li 2.51-2.60
Cl 0.6897 0.3103 0.8443  1 Ir 2.35, 2 Li 2.51-2.60
Cl 0.7210 0.2790 0.5000  1 Ir 2.33
Cl 0.7790 0.7790 0.0000  1 Ir 2.33
Cl 0.8103 0.8103 0.3443  1 Ir 2.35, 2 Li 2.51-2.60
Cl 0.8103 0.8103 0.6557  1 Ir 2.35, 2 Li 2.51-2.60

***

# 4
Here is a relaxed structure of Mg3Ga3PtRh2 from Alexandria via LeMat-Bulk. Energies are from GGA-PBE.

Summary:
calculated density = 7.92 g/cm³
total magnetic moment = 0.000 μB per atom
E_tot = -39.31 eV for the cell shown
calculated formation energy = -12.05 kcal/mol of atoms

abc: 7.4411 7.4411 2.9846
angles: 90.00 90.00 120.00
Closest atoms and distances in Å follow each position.
Fractional positions:
Mg 0.0000 0.2916 0.0000  2 Pt 2.63, 2 Rh 2.65, 2 Ga 2.89
Mg 0.2916 0.0000 0.0000  2 Pt 2.63, 2 Rh 2.65, 2 Ga 2.89
Mg 0.7084 0.7084 0.0000  2 Pt 2.63, 2 Rh 2.65, 2 Ga 2.89
Ga 0.0000 0.6236 0.5000  4 Rh 2.77, 1 Pt 2.80, 6 Mg 2.89-2.95, 2 Ga 2.98
Ga 0.3764 0.3764 0.5000  4 Rh 2.77, 1 Pt 2.80, 6 Mg 2.89-2.95, 2 Ga 2.98
Ga 0.6236 0.0000 0.5000  4 Rh 2.77, 1 Pt 2.80, 6 Mg 2.89-2.95, 2 Ga 2.98
Pt 0.0000 0.0000 0.5000  6 Mg 2.63, 3 Ga 2.80
Rh 0.3333 0.6667 0.0000  3 Mg 2.65, 6 Ga 2.77
Rh 0.6667 0.3333 0.0000  3 Mg 2.65, 6 Ga 2.77

***

# 5
Here is a relaxed structure of CaTlAs from Alexandria via LeMat-Bulk. Energies are from GGA-PBE.

Summary:
calculated density = 6.12 g/cm³
total magnetic moment = 0.000 μB per atom
E_tot = -10.82 eV for the cell shown
offset from the most stable computed form = 1 meV per atom
calculated formation energy = -13.87 kcal/mol of atoms

abc: 4.3534 4.3534 5.2757
angles: 90.00 90.00 120.00
Closest atoms and distances in Å follow each position.
Fractional positions:
Ca 0.0000 0.0000 0.0000  3 As 2.91
Tl 0.6667 0.3333 0.4403  3 As 2.92
As 0.3333 0.6667 0.7231  3 Ca 2.91, 3 Tl 2.92

***

# 6
Here is a relaxed structure of Hg2PbCl from Alexandria via LeMat-Bulk. Energies are from GGA-PBE.

Summary:
calculated density = 9.23 g/cm³
ΔE_f (raw) = -0.7 eV per formula unit
total magnetic moment = 0.000 μB per atom
E_tot = -6.90 eV for the cell shown
offset from the most stable computed form = 110 meV per atom

abc: 3.8075 3.8075 8.6597
angles: 90.00 90.00 112.63
Closest atoms and distances in Å follow each position.
Fractional positions:
Hg 0.0000 0.0000 0.2354  2 Cl 2.94, 2 Pb 3.12
Hg 0.0000 0.0000 0.7646  2 Cl 2.94, 2 Pb 3.12
Pb 0.5000 0.5000 0.5000  4 Hg 3.12
Cl 0.5000 0.5000 0.0000  4 Hg 2.94

***

# 7
Here is a relaxed structure of ZrNb2Tc from Alexandria via LeMat-Bulk. Energies are from GGA-PBE.

Summary:
calculated density = 8.52 g/cm³
total magnetic moment = 0.000 μB per atom
E_tot = -39.61 eV for the cell shown
offset from the most stable computed form = 80 meV per atom
calculated formation energy = -3.21 kcal/mol of atoms

abc: 3.2318 3.2318 6.9968
angles: 90.00 90.00 90.00
Closest atoms and distances in Å follow each position.
Fractional positions:
Zr 0.0000 0.0000 0.0000  8 Nb 3.00, 4 Zr 3.23
Nb 0.5000 0.5000 0.2768  4 Tc 2.77, 4 Zr 3.00
Nb 0.5000 0.5000 0.7232  4 Tc 2.77, 4 Zr 3.00
Tc 0.0000 0.0000 0.5000  8 Nb 2.77

***

# 8
Here is a relaxed structure of ScIrPt from Alexandria via LeMat-Bulk. Energies are from GGA-PBE.

Summary:
calculated density = 12.39 g/cm³
total magnetic moment = 0.000 μB per atom
E_tot = -22.65 eV for the cell shown
offset from the most stable computed form = 142 meV per atom
calculated formation energy = -10.87 kcal/mol of atoms

abc: 2.9494 4.3725 4.4920
angles: 90.00 90.00 90.00
Closest atoms and distances in Å follow each position.
Fractional positions:
Sc 0.0000 0.0000 0.0000  4 Ir 2.64, 2 Sc 2.95
Ir 0.5000 0.5000 0.0000  4 Sc 2.64, 4 Pt 2.69, 2 Ir 2.95
Pt 0.0000 0.5000 0.5000  4 Ir 2.69, 2 Pt 2.95

***

# 9
Here is a relaxed structure of LiFe2Br from Alexandria via LeMat-Bulk. Energies are from GGA-PBE.

Summary:
calculated density = 4.60 g/cm³
ΔE_f (raw) = 2.5 eV per formula unit
total magnetic moment = 1.474 μB per atom
E_tot = -36.04 eV for the cell shown
offset from the most stable computed form = 605 meV per atom

abc: 5.9826 5.9826 5.9826
angles: 99.07 99.07 133.23
Closest atoms and distances in Å follow each position.
Fractional positions:
Li 0.0000 0.0000 0.0000  2 Br 2.37
Li 0.7500 0.2500 0.5000  2 Br 2.37
Fe 0.1751 0.6250 0.0501  2 Fe 2.50, 2 Br 2.56
Fe 0.3750 0.4251 0.5501  2 Fe 2.50, 2 Br 2.56
Fe 0.5749 0.1250 0.9499  2 Fe 2.50, 2 Br 2.56
Fe 0.8750 0.8249 0.4499  2 Fe 2.50, 2 Br 2.56
Br 0.2500 0.7500 0.5000  2 Li 2.37, 4 Fe 2.56
Br 0.5000 0.5000 0.0000  2 Li 2.37, 4 Fe 2.56

***

# 10
Here is a relaxed structure of TaRe3 from Alexandria via LeMat-Bulk. Energies are from GGA-PBE.

Summary:
calculated density = 19.55 g/cm³
total magnetic moment = 0.007 μB per atom
E_tot = -49.02 eV for the cell shown
calculated formation energy = 1.05 kcal/mol of atoms

abc: 5.2213 5.2213 5.2213
angles: 117.00 117.00 117.00
Closest atoms and distances in Å follow each position.
Fractional positions:
Ta 0.0000 0.0000 0.0000  6 Re 2.73, 2 Ta 2.75
Re 0.0000 0.5000 0.5000  6 Re 2.73-2.75, 2 Ta 2.73
Re 0.5000 0.0000 0.5000  2 Ta 2.73, 6 Re 2.73-2.75
Re 0.5000 0.5000 0.0000  6 Re 2.73-2.75, 2 Ta 2.73

***

# 11
Here is a relaxed structure of HoBiPd2 from Alexandria via LeMat-Bulk. Energies are from GGA-PBE.

Summary:
calculated density = 11.35 g/cm³
total magnetic moment = 0.000 μB per atom
E_tot = -21.48 eV for the cell shown
calculated formation energy = -15.17 kcal/mol of atoms

abc: 3.6297 3.6297 6.5152
angles: 90.00 90.00 90.00
Closest atoms and distances in Å follow each position.
Fractional positions:
Ho 0.0000 0.0000 0.0000  8 Pd 2.96, 2 Bi 3.26
Bi 0.0000 0.0000 0.5000  8 Pd 3.12, 2 Ho 3.26
Pd 0.5000 0.5000 0.2269  1 Pd 2.96, 4 Ho 2.96, 4 Bi 3.12
Pd 0.5000 0.5000 0.7731  1 Pd 2.96, 4 Ho 2.96, 4 Bi 3.12

***

# 12
Here is a relaxed structure of Rb2SrNpS4 from Alexandria via LeMat-Bulk. Energies are from GGA-PBE.

Summary:
calculated density = 4.34 g/cm³
ΔE_f (raw) = -12.1 eV per formula unit
total magnetic moment = 0.375 μB per atom
E_tot = -45.17 eV for the cell shown

abc: 7.3877 4.2234 8.0296
angles: 90.00 107.54 90.00
Closest atoms and distances in Å follow each position.
Fractional positions:
Rb 0.0000 0.0000 0.0000  6 S 3.47-3.55
Rb 0.5000 0.5000 0.0000  6 S 3.29-3.30
Sr 0.0000 0.5000 0.5000  6 S 2.98-3.00
Np 0.5000 0.0000 0.5000  6 S 2.68-2.78
S 0.2630 0.0000 0.6955  1 Np 2.68, 2 Sr 2.98
S 0.2923 0.5000 0.3098  2 Np 2.78, 1 Sr 3.00
S 0.7077 0.5000 0.6902  2 Np 2.78, 1 Sr 3.00
S 0.7370 0.0000 0.3045  1 Np 2.68, 2 Sr 2.98

***

# 13
Here is a relaxed structure of CdAsBr3 from Alexandria via LeMat-Bulk. Energies are from GGA-PBE.

Summary:
calculated density = 4.59 g/cm³
ΔE_f (raw) = -0.7 eV per formula unit
total magnetic moment = 0.009 μB per atom
E_tot = -11.26 eV for the cell shown
offset from the most stable computed form = 0 meV per atom

abc: 5.3640 5.3640 5.3640
angles: 90.00 90.00 90.00
Closest atoms and distances in Å follow each position.
Fractional positions:
Cd 0.0000 0.0000 0.0000  12 Br 3.79
As 0.5000 0.5000 0.5000  6 Br 2.68
Br 0.0000 0.5000 0.5000  2 As 2.68
Br 0.5000 0.0000 0.5000  2 As 2.68
Br 0.5000 0.5000 0.0000  2 As 2.68